[1]
The following is a DFT calculation (SCAN) of a crystal of SrLaMo2 relaxed with PBEsol.

Structure (CIF):
```
data_SrLaMo2
_cell_length_a 3.3889
_cell_length_b 5.1441
_cell_length_c 5.7617
_cell_angle_alpha 116.51
_cell_angle_beta 107.10
_cell_angle_gamma 90.00
_symmetry_space_group_name_H-M 'P 1'
_symmetry_Int_Tables_number 1
_symmetry_space_group_name_Hall 'P 1'
loop_
_atom_site_label
_atom_site_type_symbol
_atom_site_fract_x
_atom_site_fract_y
_atom_site_fract_z
La1 La 0.0000 0.5000 0.0000
Mo1 Mo 0.7323 0.7323 0.4646
Mo2 Mo 0.2677 0.2677 0.5354
Sr1 Sr 0.5000 0.0000 0.0000
```

Calculated values
* crystal system: orthorhombic
* raw total energy: -32.567 eV per atom
* DFT formation energy: 4.88 eV per formula unit

---

[2]
The following is a DFT calculation (SCAN) of a crystal of SrLaMo4 relaxed with PBEsol.

Structure (CIF):
```
data_SrLaMo4
_cell_length_a 5.5508
_cell_length_b 5.5508
_cell_length_c 5.5508
_cell_angle_alpha 60.00
_cell_angle_beta 60.00
_cell_angle_gamma 60.00
_symmetry_space_group_name_H-M 'P 1'
_symmetry_Int_Tables_number 1
_symmetry_space_group_name_Hall 'P 1'
loop_
_atom_site_label
_atom_site_type_symbol
_atom_site_fract_x
_atom_site_fract_y
_atom_site_fract_z
La1 La 0.0000 0.0000 0.0000
Mo1 Mo 0.3747 0.3747 0.3747
Mo2 Mo 0.3747 0.3747 0.8760
Mo3 Mo 0.8760 0.3747 0.3747
Mo4 Mo 0.3747 0.8760 0.3747
Sr1 Sr 0.7500 0.7500 0.7500
```

Calculated values
* crystal system: cubic
* raw total energy: -33.501 eV per atom
* DFT formation energy: 3.92 eV per formula unit

---

[3]
The following is a DFT calculation (SCAN) of a crystal of SrLa2Mo relaxed with PBEsol.

Structure (CIF):
```
data_SrLa2Mo
_cell_length_a 3.6614
_cell_length_b 5.4354
_cell_length_c 6.8924
_cell_angle_alpha 113.22
_cell_angle_beta 105.40
_cell_angle_gamma 90.00
_symmetry_space_group_name_H-M 'P 1'
_symmetry_Int_Tables_number 1
_symmetry_space_group_name_Hall 'P 1'
loop_
_atom_site_label
_atom_site_type_symbol
_atom_site_fract_x
_atom_site_fract_y
_atom_site_fract_z
La1 La 0.0057 0.0057 0.0115
La2 La 0.8179 0.3179 0.6358
Mo1 Mo 0.4702 0.4702 0.9404
Sr1 Sr 0.2062 0.7062 0.4124
```

Calculated values
* crystal system: orthorhombic
* raw total energy: -35.337 eV per atom
* DFT formation energy: 2.02 eV per formula unit

---

[4]
The following is a DFT calculation (SCAN) of a crystal of SrLaMo2 relaxed with PBEsol.

Structure (CIF):
```
data_SrLaMo2
_cell_length_a 4.9608
_cell_length_b 4.9608
_cell_length_c 4.9608
_cell_angle_alpha 60.00
_cell_angle_beta 60.00
_cell_angle_gamma 60.00
_symmetry_space_group_name_H-M 'P 1'
_symmetry_Int_Tables_number 1
_symmetry_space_group_name_Hall 'P 1'
loop_
_atom_site_label
_atom_site_type_symbol
_atom_site_fract_x
_atom_site_fract_y
_atom_site_fract_z
La1 La 0.5000 0.5000 0.5000
Mo1 Mo 0.0000 0.0000 0.0000
Mo2 Mo 0.7500 0.7500 0.7500
Sr1 Sr 0.2500 0.2500 0.2500
```

Calculated values
* crystal system: cubic
* raw total energy: -32.711 eV per atom
* DFT formation energy: 4.31 eV per formula unit

---

Look up the DFT formation energy of the third one.
2.02 eV per formula unit

---

What is the DFT formation energy in the fourth record?
4.31 eV per formula unit

---

Which of these has the lowest raw total energy?
SrLa2Mo

---

Among the records above, which one has the highest DFT formation energy?
number 1